# CaFeSn2Br PBE optimized geometry
# * crystal system: tetragonal
# * uncorrected formation energy: 3.96 eV/f.u.
# * mass density: 3.62 g cm⁻³
# * Fermi-level density of states: 1.596 states/eV/atom
data_CaFeSn2Br
_symmetry_space_group_name_H-M 'P 1'
_symmetry_Int_Tables_number 1
_symmetry_space_group_name_Hall 'P 1'
_cell_length_a 5.9942
_cell_length_b 5.9942
_cell_length_c 5.2755
_cell_angle_alpha 90.00
_cell_angle_beta 90.00
_cell_angle_gamma 90.00
loop_
_atom_site_label
_atom_site_type_symbol
_atom_site_fract_x
_atom_site_fract_y
_atom_site_fract_z
_atom_site_occupancy
Ca1 Ca 0.0000 0.0000 0.0000 1
Fe1 Fe 0.5000 0.5000 0.5000 1
Sn1 Sn 0.0000 0.5000 0.0000 1
Sn2 Sn 0.5000 0.0000 0.0000 1
Br1 Br 0.0000 0.0000 0.5000 1

---

# CaTlFeBr5 PBE optimized geometry
# * crystal system: monoclinic
# * uncorrected formation energy: -8.89 eV/f.u.
# * mass density: 4.06 g cm⁻³
# * Fermi-level density of states: 0.858 states/eV/atom
data_CaTlFeBr5
_symmetry_space_group_name_H-M 'P 1'
_symmetry_Int_Tables_number 1
_symmetry_space_group_name_Hall 'P 1'
_cell_length_a 7.9069
_cell_length_b 7.9069
_cell_length_c 10.4172
_cell_angle_alpha 104.29
_cell_angle_beta 104.29
_cell_angle_gamma 105.75
loop_
_atom_site_label
_atom_site_type_symbol
_atom_site_fract_x
_atom_site_fract_y
_atom_site_fract_z
_atom_site_occupancy
Ca1 Ca 0.0000 0.0000 0.0000 1
Ca2 Ca 0.0000 0.0000 0.5000 1
Tl1 Tl 0.3437 0.6563 0.7500 1
Tl2 Tl 0.6563 0.3437 0.2500 1
Fe1 Fe 0.3173 0.6827 0.2500 1
Fe2 Fe 0.6827 0.3173 0.7500 1
Br1 Br 0.0867 0.9133 0.7500 1
Br2 Br 0.0915 0.6716 0.3748 1
Br3 Br 0.2550 0.3882 0.0667 1
Br4 Br 0.3284 0.9085 0.1252 1
Br5 Br 0.3882 0.2550 0.5667 1
Br6 Br 0.6118 0.7450 0.4333 1
Br7 Br 0.6716 0.0915 0.8748 1
Br8 Br 0.7450 0.6118 0.9333 1
Br9 Br 0.9085 0.3284 0.6252 1
Br10 Br 0.9133 0.0867 0.2500 1